1.
Compound: CoCuOsBr
Source: Alexandria via LeMat-Bulk
Functional: PBE
Structure: optimized geometry

Unit cell a=3.5630 b=2.6323 c=7.6327 alpha=90.00 beta=90.19 gamma=90.00
Site moments in Bohr magnetons follow the coordinates.
Fractional coordinates of all 4 atoms:
Os 0.1656 0.5000 0.6302  0.11
Br 0.6559 0.0000 0.1633  0.03
Cu 0.6674 0.0000 0.8243  0.03
Co 0.6646 0.0000 0.4924  0.90

As for the total magnetic moment: 1.079 μB/f.u. The formation energy (no corrections) comes out at 0.53 eV/atom. The calculation puts the relative energy among the computed polymorphs at 16.6 meV per atom. The space group is Pm, No. 6.



2.
Compound: CoCuOsBr
Source: Alexandria via LeMat-Bulk
Functional: PBE
Structure: optimized geometry

Unit cell a=2.8197 b=2.8197 c=26.8048 alpha=90.00 beta=90.00 gamma=120.00
Site moments in Bohr magnetons follow the coordinates.
Fractional coordinates of all 12 atoms:
Co 0.0000 0.0000 0.8100  1.28
Co 0.6667 0.3333 0.1433  1.28
Co 0.3333 0.6667 0.4767  1.28
Cu 0.3333 0.6667 0.2922  -0.01
Cu 0.6667 0.3333 0.9588  -0.01
Cu 0.0000 0.0000 0.6255  -0.01
Os 0.3333 0.6667 0.8808  -0.10
Os 0.6667 0.3333 0.5475  -0.10
Os 0.0000 0.0000 0.2141  -0.10
Br 0.6667 0.3333 0.0538  0.00
Br 0.0000 0.0000 0.7204  0.00
Br 0.3333 0.6667 0.3871  0.00

As for the total magnetic moment: 1.126 μB/f.u. The formation energy (no corrections) comes out at 0.56 eV/atom. The calculation puts the relative energy among the computed polymorphs at 49.7 meV per atom. The space group is R3m, No. 160.



3.
Compound: CoCuOsBr
Source: Alexandria via LeMat-Bulk
Functional: PBE
Structure: optimized geometry

Unit cell a=3.0492 b=3.0268 c=7.2116 alpha=101.96 beta=102.19 gamma=89.99
Site moments in Bohr magnetons follow the coordinates.
Fractional coordinates of all 4 atoms:
Cu 0.1478 0.2991 0.1548  0.00
Co 0.7500 0.8996 0.3594  0.80
Os 0.3367 0.4853 0.5330  0.23
Br 0.4912 0.1388 0.8425  -0.01

As for the total magnetic moment: 1.027 μB/f.u. The formation energy (no corrections) comes out at 0.56 eV/atom. The calculation puts the relative energy among the computed polymorphs at 51.8 meV per atom. The space group is Cm, No. 8.



4.
Compound: CoCuOsBr
Source: Alexandria via LeMat-Bulk
Functional: PBE
Structure: optimized geometry

Unit cell a=2.7957 b=3.3437 c=14.1575 alpha=90.00 beta=90.00 gamma=90.00
Fractional coordinates of all 8 atoms:
Cu 0.0000 0.0000 0.5770
Cu 0.0000 0.5000 0.0770
Br 0.0000 0.0000 0.9302
Br 0.0000 0.5000 0.4302
Os 0.0000 0.0000 0.7567
Os 0.0000 0.5000 0.2567
Co 0.5000 0.0000 0.1809
Co 0.5000 0.5000 0.6809

As for the total magnetic moment: 0.000 μB/f.u. The formation energy (no corrections) comes out at 0.51 eV/atom. The calculation puts the relative energy among the computed polymorphs at 0.0 meV per atom. The space group is Amm2, No. 38.



5.
Compound: CoCuOsBr
Source: Alexandria via LeMat-Bulk
Functional: PBE
Structure: optimized geometry

Unit cell a=6.5718 b=2.8792 c=7.7971 alpha=90.00 beta=100.70 gamma=90.00
Site moments in Bohr magnetons follow the coordinates.
Fractional coordinates of all 8 atoms:
Br 0.8340 0.0000 0.4626  0.00
Br 0.8340 0.5000 0.9626  0.00
Cu 0.1782 0.5000 0.8784  0.00
Cu 0.1782 0.0000 0.3784  0.00
Os 0.5027 0.5000 0.3693  0.03
Os 0.5027 0.0000 0.8693  0.03
Co 0.3748 0.5000 0.6260  0.27
Co 0.3748 0.0000 0.1260  0.27

As for the total magnetic moment: 0.312 μB/f.u. The formation energy (no corrections) comes out at 0.67 eV/atom. The calculation puts the relative energy among the computed polymorphs at 154.5 meV per atom. The space group is Cm, No. 8.



6.
Compound: CoCuOsBr
Source: Alexandria via LeMat-Bulk
Functional: PBE
Structure: optimized geometry

Unit cell a=2.7971 b=2.9469 c=15.6508 alpha=90.00 beta=90.00 gamma=90.00
Site moments in Bohr magnetons follow the coordinates.
Fractional coordinates of all 8 atoms:
Os 0.5000 0.0000 0.6799  0.17
Os 0.5000 0.5000 0.1799  0.17
Br 0.0000 0.0000 0.4251  0.04
Br 0.0000 0.5000 0.9251  0.04
Cu 0.0000 0.0000 0.0684  0.01
Cu 0.0000 0.5000 0.5684  0.01
Co 0.0000 0.5000 0.7714  1.13
Co 0.0000 0.0000 0.2714  1.13

As for the total magnetic moment: 1.358 μB/f.u. The formation energy (no corrections) comes out at 0.54 eV/atom. The calculation puts the relative energy among the computed polymorphs at 22.8 meV per atom. The space group is Amm2, No. 38.



7.
Compound: CoCuOsBr
Source: Alexandria via LeMat-Bulk
Functional: PBE
Structure: optimized geometry

Unit cell a=2.7791 b=2.9292 c=7.9118 alpha=100.14 beta=90.22 gamma=89.99
Fractional coordinates of all 4 atoms:
Cu 0.3264 0.1372 0.1478
Os 0.8296 0.7408 0.3680
Br 0.3352 0.9546 0.8150
Co 0.3316 0.3316 0.5589

As for the total magnetic moment: 0.001 μB/f.u. The formation energy (no corrections) comes out at 0.52 eV/atom. The calculation puts the relative energy among the computed polymorphs at 5.5 meV per atom. The space group is P1, No. 1.



8.
Compound: CoCuOsBr
Source: Alexandria via LeMat-Bulk
Functional: PBE
Structure: optimized geometry

Unit cell a=3.0791 b=3.0703 c=7.0282 alpha=90.00 beta=77.35 gamma=90.00
Site moments in Bohr magnetons follow the coordinates.
Fractional coordinates of all 4 atoms:
Br 0.6412 0.5000 0.1851  0.04
Cu 0.4134 0.0000 0.6401  0.03
Co 0.0042 0.5000 0.4584  1.54
Os 0.8204 0.5000 0.8266  -0.02

As for the total magnetic moment: 1.537 μB/f.u. The formation energy (no corrections) comes out at 0.74 eV/atom. The calculation puts the relative energy among the computed polymorphs at 230.8 meV per atom. The space group is Amm2, No. 38.



9.
Compound: CoCuOsBr
Source: Alexandria via LeMat-Bulk
Functional: PBE
Structure: optimized geometry

Unit cell a=2.9669 b=2.9547 c=7.1680 alpha=90.00 beta=90.00 gamma=90.00
Fractional coordinates of all 4 atoms:
Cu 0.0000 0.0000 0.8429
Br 0.0000 0.5000 0.1629
Co 0.5000 0.5000 0.6430
Os 0.0000 0.0000 0.4615

As for the total magnetic moment: 0.002 μB/f.u. The formation energy (no corrections) comes out at 0.57 eV/atom. The calculation puts the relative energy among the computed polymorphs at 57.4 meV per atom. The space group is Pmm2, No. 25.



10.
Compound: Pm6Co2CuBr3
Source: Alexandria via LeMat-Bulk
Functional: PBE
Structure: optimized geometry

Unit cell a=7.0020 b=7.0020 c=8.0596 alpha=98.31 beta=98.31 gamma=120.03
Fractional coordinates of all 12 atoms:
Pm 0.0652 0.4167 0.1945
Pm 0.5833 0.9348 0.8055
Pm 0.7128 0.7128 0.1937
Pm 0.4167 0.0652 0.1945
Pm 0.2872 0.2872 0.8063
Pm 0.9348 0.5833 0.8055
Br 0.8335 0.1665 0.5000
Br 0.1665 0.8335 0.5000
Br 0.5000 0.5000 0.5000
Cu 0.0000 0.0000 0.0000
Co 0.3332 0.6668 0.0000
Co 0.6668 0.3332 0.0000

As for the total magnetic moment: 0.000 μB/f.u. The formation energy (no corrections) comes out at -0.72 eV/atom. The space group is C2/m, No. 12.



11.
Compound: Pr8CoCu3Br4
Source: Alexandria via LeMat-Bulk
Functional: PBE
Structure: optimized geometry

Unit cell a=8.3222 b=9.0524 c=8.3245 alpha=117.39 beta=119.99 gamma=90.00
Fractional coordinates of all 16 atoms:
Pr 0.7386 0.7155 0.4773
Pr 0.2512 0.2964 0.0236
Pr 0.7488 0.7036 0.9764
Pr 0.7724 0.2964 0.0236
Pr 0.2614 0.2845 0.5227
Pr 0.7721 0.2963 0.5442
Pr 0.2276 0.7036 0.9764
Pr 0.2279 0.7037 0.4558
Br 0.5000 0.0000 0.5000
Br 0.0000 0.0000 0.5000
Br 0.5000 0.0000 0.0000
Br 0.0000 0.0000 0.0000
Cu 0.5000 0.5000 0.0000
Cu 0.5000 0.5000 0.5000
Cu 0.0000 0.5000 0.5000
Co 0.0000 0.5000 0.0000

As for the total magnetic moment: 0.001 μB/f.u. The formation energy (no corrections) comes out at -0.66 eV/atom. The space group is R-3m, No. 166.



12.
Compound: Pr8Co3CuBr4
Source: Alexandria via LeMat-Bulk
Functional: PBE
Structure: optimized geometry

Unit cell a=8.1708 b=9.1421 c=8.1720 alpha=116.58 beta=120.00 gamma=90.00
Fractional coordinates of all 16 atoms:
Pr 0.2808 0.3053 0.0427
Pr 0.7619 0.3053 0.0427
Pr 0.2381 0.6947 0.9573
Pr 0.7192 0.6947 0.9573
Pr 0.2379 0.6946 0.4757
Pr 0.2684 0.3060 0.5368
Pr 0.7316 0.6940 0.4632
Pr 0.7621 0.3054 0.5243
Co 0.5000 0.5000 0.5000
Co 0.0000 0.5000 0.5000
Co 0.5000 0.5000 0.0000
Br 0.5000 0.0000 0.0000
Br 0.0000 0.0000 0.0000
Br 0.0000 0.0000 0.5000
Br 0.5000 0.0000 0.5000
Cu 0.0000 0.5000 0.0000

As for the total magnetic moment: 0.000 μB/f.u. The formation energy (no corrections) comes out at -0.71 eV/atom. The space group is R-3m, No. 166.



13.
Compound: Pr4CoCuBr2
Source: Alexandria via LeMat-Bulk
Functional: PBE
Structure: optimized geometry

Unit cell a=4.1416 b=7.1428 c=8.1422 alpha=106.85 beta=90.00 gamma=90.00
Fractional coordinates of all 8 atoms:
Br 0.0000 0.5000 0.5000
Br 0.5000 0.0000 0.5000
Pr 0.5000 0.2542 0.1986
Pr 0.0000 0.2747 0.8045
Pr 0.0000 0.7253 0.1955
Pr 0.5000 0.7458 0.8014
Co 0.5000 0.5000 0.0000
Cu 0.0000 0.0000 0.0000

As for the total magnetic moment: 0.000 μB/f.u. The formation energy (no corrections) comes out at -0.68 eV/atom. The space group is P2/m, No. 10.



14.
Compound: Pr6Co2CuBr3
Source: Alexandria via LeMat-Bulk
Functional: PBE
Structure: optimized geometry

Unit cell a=7.1127 b=7.1127 c=8.1708 alpha=98.33 beta=98.33 gamma=120.03
Fractional coordinates of all 12 atoms:
Pr 0.4171 0.0656 0.1955
Pr 0.2868 0.2868 0.8052
Pr 0.7132 0.7132 0.1948
Pr 0.9344 0.5829 0.8045
Pr 0.0656 0.4171 0.1955
Pr 0.5829 0.9344 0.8045
Co 0.6668 0.3332 0.0000
Co 0.3332 0.6668 0.0000
Br 0.8336 0.1664 0.5000
Br 0.5000 0.5000 0.5000
Br 0.1664 0.8336 0.5000
Cu 0.0000 0.0000 0.0000

As for the total magnetic moment: 0.000 μB/f.u. The formation energy (no corrections) comes out at -0.71 eV/atom. The space group is C2/m, No. 12.



15.
Compound: RbCoCuBr5
Source: Alexandria via LeMat-Bulk
Functional: PBE
Structure: optimized geometry

Unit cell a=7.9392 b=7.9392 c=8.9944 alpha=100.05 beta=100.05 gamma=101.36
Site moments in Bohr magnetons follow the coordinates.
Fractional coordinates of all 16 atoms:
Br 0.9441 0.2960 0.1138  0.18
Br 0.4449 0.2431 0.0693  0.16
Br 0.5551 0.7569 0.9307  0.16
Br 0.7040 0.0559 0.3862  0.18
Br 0.7569 0.5551 0.4307  0.16
Br 0.2960 0.9441 0.6138  0.18
Br 0.0750 0.9250 0.2500  0.11
Br 0.9250 0.0750 0.7500  0.11
Br 0.2431 0.4449 0.5693  0.16
Br 0.0559 0.7040 0.8862  0.18
Co 0.2889 0.7111 0.7500  2.47
Co 0.7111 0.2889 0.2500  2.47
Cu 0.0000 0.0000 0.5000  0.30
Cu 0.0000 0.0000 0.0000  0.30
Rb 0.6403 0.3597 0.7500  0.00
Rb 0.3597 0.6403 0.2500  0.00

As for the total magnetic moment: 3.924 μB/f.u. The formation energy (no corrections) comes out at -0.66 eV/atom. The space group is C2/c, No. 15.



16.
Compound: RbCo2CuBr8
Source: Alexandria via LeMat-Bulk
Functional: PBE
Structure: optimized geometry

Unit cell a=6.6866 b=6.6866 c=9.6370 alpha=90.00 beta=90.00 gamma=120.00
Site moments in Bohr magnetons follow the coordinates.
Fractional coordinates of all 12 atoms:
Br 0.3333 0.6667 0.9759  0.23
Br 0.6787 0.6859 0.6617  0.23
Br 0.3213 0.3141 0.3383  0.23
Br 0.6667 0.3333 0.0241  0.23
Br 0.0072 0.3213 0.6617  0.23
Br 0.3141 0.9928 0.6617  0.23
Br 0.9928 0.6787 0.3383  0.23
Br 0.6859 0.0072 0.3383  0.23
Cu 0.0000 0.0000 0.5000  0.39
Rb 0.0000 0.0000 0.0000  0.00
Co 0.6667 0.3333 0.2657  2.52
Co 0.3333 0.6667 0.7343  2.52

As for the total magnetic moment: 8.074 μB/f.u. The formation energy (no corrections) comes out at -0.52 eV/atom. The space group is P-3, No. 147.



17.
Compound: CoCu2RhBr
Source: Alexandria via LeMat-Bulk
Functional: PBE
Structure: optimized geometry

Unit cell a=4.7372 b=4.7208 c=4.7372 alpha=90.00 beta=90.00 gamma=90.00
Site moments in Bohr magnetons follow the coordinates.
Fractional coordinates of all 5 atoms:
Br 0.0000 0.5000 0.0000  0.02
Co 0.5000 0.5000 0.5000  2.13
Rh 0.0000 0.0000 0.0000  0.04
Cu 0.5000 0.0000 0.0000  0.01
Cu 0.0000 0.0000 0.5000  0.03

As for the total magnetic moment: 2.284 μB/f.u. The formation energy (no corrections) comes out at 1.24 eV/atom. The space group is P4/mmm, No. 123.



18.
Compound: ScCoCu2Br
Source: Alexandria via LeMat-Bulk
Functional: PBE
Structure: optimized geometry

Unit cell a=4.6240 b=4.3529 c=4.6240 alpha=90.00 beta=90.00 gamma=90.00
Fractional coordinates of all 5 atoms:
Br 0.0000 0.0000 0.0000
Cu 0.5000 0.0000 0.0000
Cu 0.0000 0.0000 0.5000
Sc 0.5000 0.5000 0.5000
Co 0.0000 0.5000 0.0000

As for the total magnetic moment: 0.000 μB/f.u. The formation energy (no corrections) comes out at 0.84 eV/atom. The space group is P4/mmm, No. 123.



19.
Compound: Co2CuSeBr
Source: Alexandria via LeMat-Bulk
Functional: PBE
Structure: optimized geometry

Unit cell a=4.8419 b=4.3358 c=4.8419 alpha=90.00 beta=90.00 gamma=90.00
Site moments in Bohr magnetons follow the coordinates.
Fractional coordinates of all 5 atoms:
Br 0.5000 0.5000 0.5000  0.14
Cu 0.0000 0.0000 0.0000  -0.03
Co 0.5000 0.0000 0.0000  1.84
Co 0.0000 0.0000 0.5000  2.16
Se 0.0000 0.5000 0.0000  0.09

As for the total magnetic moment: 4.225 μB/f.u. The formation energy (no corrections) comes out at 0.97 eV/atom. The calculation puts the relative energy among the computed polymorphs at 130.3 meV per atom. The space group is P4/mmm, No. 123.



20.
Compound: Co2CuSeBr
Source: Alexandria via LeMat-Bulk
Functional: PBE
Structure: optimized geometry

Unit cell a=4.2692 b=7.3422 c=4.2692 alpha=90.00 beta=90.00 gamma=90.00
Site moments in Bohr magnetons follow the coordinates.
Fractional coordinates of all 5 atoms:
Se 0.0000 0.0000 0.0000  0.03
Co 0.0000 0.0000 0.5000  1.27
Co 0.5000 0.0000 0.0000  1.96
Cu 0.5000 0.5000 0.5000  0.00
Br 0.0000 0.5000 0.0000  -0.01

As for the total magnetic moment: 3.207 μB/f.u. The formation energy (no corrections) comes out at 0.84 eV/atom. The calculation puts the relative energy among the computed polymorphs at 0.0 meV per atom. The space group is P4/mmm, No. 123.